Entry 1:
A plane-wave DFT calculation with PBE was carried out for an optimized crystal structure of SrScSe2N.

The value obtained for the density of states at the Fermi level is 0.512 states/eV/atom. For the offset from the most stable computed form, the calculation gives 0.0 meV/atom. The calculation puts the formation energy from raw total energies at -4.8 eV/f.u. For the calculated volume, the calculation gives 23.9 Å³/atom.

a b c (Å): 5.316 5.316 4.231
angles (deg): 90.00 90.00 90.00
Space group P4/mmm (No. 123)
Asymmetric unit:
1 Sr 0.000 0.000 0.000
2 Sc 0.500 0.500 0.500
3 Se 0.000 0.500 0.500
4 N 0.500 0.500 0.000

Entry 2:
A plane-wave DFT calculation with PBE was carried out for an optimized crystal structure of SrScSeN2.

The value obtained for the density of states at the Fermi level is 0.631 states/eV/atom. For the offset from the most stable computed form, the calculation gives 447.9 meV/atom. The calculation puts the formation energy from raw total energies at 0.4 eV/f.u. For the calculated volume, the calculation gives 37.9 Å³/atom.

a b c (Å): 4.158 4.158 10.974
angles (deg): 90.00 90.00 90.00
Space group P4/mmm (No. 123)
Asymmetric unit:
1 Sr 0.000 0.000 0.000
2 Sc 0.000 0.000 0.500
3 Se 0.500 0.500 0.000
4 N 0.000 0.500 0.500

Entry 3:
A plane-wave DFT calculation with PBE was carried out for an optimized crystal structure of SrScSeN2.

The value obtained for the density of states at the Fermi level is 0.522 states/eV/atom. For the offset from the most stable computed form, the calculation gives 0.0 meV/atom. The calculation puts the formation energy from raw total energies at -1.9 eV/f.u. For the calculated volume, the calculation gives 20.2 Å³/atom.

a b c (Å): 4.360 4.360 5.301
angles (deg): 90.00 90.00 90.00
Space group P4/mmm (No. 123)
Asymmetric unit:
1 Sr 0.000 0.000 0.000
2 Sc 0.500 0.500 0.500
3 Se 0.500 0.500 0.000
4 N 0.000 0.500 0.500

> Which value of formation energy from raw total energies does entry 3 give?

-1.9 eV/f.u.

> Number 1 is which compound?

SrScSe2N

> Among the records above, which one has the highest calculated volume?

number 2

> formation energy from raw total energies of number 1 (SrScSe2N)?

-4.8 eV/f.u.